! GGA-PBEsol Li4VP2O9, relaxed; values from VASP
&SYSTEM
  ibrav = 0, nat = 32, ntyp = 4
/
ATOMIC_SPECIES
V 50.94 V.upf
O 16.00 O.upf
P 30.97 P.upf
Li 6.94 Li.upf
ATOMIC_POSITIONS angstrom
V 5.0424 -0.5174 -1.5584
V 5.0076 0.2419 1.7283
O 1.4212 -0.5947 3.6150
O 5.1230 2.1771 1.6722
O 6.2312 -3.5601 0.8883
O 3.1019 0.3328 2.0769
O 3.0749 0.9212 4.6238
O 3.7841 4.0438 2.5684
O 6.9134 0.1510 1.3798
O 4.8922 -1.6934 1.7845
O 6.4700 4.0124 2.6040
O 5.4211 0.1732 3.4799
O 5.1656 1.2469 -2.3544
O 3.5453 -3.5286 0.8527
O 8.5941 1.0785 -0.1583
O 4.8497 -0.7632 5.8111
O 6.9403 -0.4374 -1.1671
O 1.5654 2.0192 3.0126
O 4.5942 0.3106 -0.0232
O 8.4499 -1.5354 0.4441
P 7.7979 -0.1913 0.1266
P 5.1175 3.3215 2.7493
P 2.2174 0.6751 3.3300
P 4.8977 -2.8377 0.7074
Li 2.5896 2.7586 1.1214
Li 4.9128 -1.9505 3.9651
Li 2.3864 -0.0442 0.0354
Li 7.6288 0.5280 3.4212
Li 2.3659 -1.3777 5.5371
Li 2.6243 1.9993 -2.1654
Li 2.4007 -2.1370 2.2503
Li 5.1025 2.4342 -0.5084
CELL_PARAMETERS angstrom
-0.0695 1.5186 6.5735
4.8361 -5.0333 1.2139
5.2487 3.9985 -4.3308
! Uncorrected formation energy   -2.3319 eV per atom
! Calculated volume   341.1 Å³/cell
! N(E_F)   6.69 states/eV/cell
! E   -7.102 eV/atom
! Crystal system   orthorhombic

---

! GGA-PBEsol Li3V4P6O24, relaxed; values from VASP
&SYSTEM
  ibrav = 0, nat = 37, ntyp = 4
/
ATOMIC_SPECIES
O 16.00 O.upf
V 50.94 V.upf
P 30.97 P.upf
Li 6.94 Li.upf
ATOMIC_POSITIONS angstrom
O 5.5669 -3.4224 -1.7145
O 0.4956 -4.4714 -2.5740
O 1.3847 -5.0533 1.8674
O 6.1974 -5.1673 4.1101
O 6.2446 -2.4409 0.5141
O 5.3007 -2.8905 3.2599
O 3.7169 -5.4337 2.7974
O 1.7484 -6.6019 3.8371
O 3.2605 -1.7992 2.2601
O 2.3285 -4.6036 -0.8784
O 0.1103 -3.6794 -0.1589
O 7.5189 -3.8148 2.5403
O 0.7918 -2.3769 2.3799
O 1.4318 -2.3269 -1.7287
O 1.6549 -0.9087 0.5069
O 3.9123 -2.0604 -0.4160
O 7.1336 -3.0227 4.9554
O 5.8808 -0.8923 -1.4556
O 9.2925 -2.3306 1.3969
O 4.3687 -5.6950 0.1213
O -1.6633 -5.1635 0.9845
O 5.9744 -6.5855 1.8746
O 2.0624 -4.0718 4.0959
O 6.8374 -5.1173 0.0015
V -0.2690 -3.9293 1.6140
V 5.0803 -6.5423 3.4837
V 7.8982 -3.5649 0.7674
V 2.5489 -0.9519 -1.1023
P 1.8897 -1.2814 2.0024
P 1.1564 -3.7882 -1.3042
P 6.4729 -3.7060 3.6856
P 2.2169 -5.2860 3.1387
P 5.7396 -6.2127 0.3790
P 5.4123 -2.2081 -0.7573
Li 3.5942 -2.5508 4.0526
Li 5.4068 -1.1893 2.1360
Li 4.0350 -4.9434 -1.6711
CELL_PARAMETERS angstrom
-3.1844 -5.1156 -1.8905
7.3801 -0.6043 -3.5545
3.4335 -1.7743 7.8264
! Uncorrected formation energy   -2.2644 eV per atom
! Calculated volume   413.9 Å³/cell
! N(E_F)   12.40 states/eV/cell
! E   -7.810 eV/atom
! Crystal system   triclinic

---

! GGA-PBEsol Li4V7P6O24, relaxed; values from VASP
&SYSTEM
  ibrav = 0, nat = 41, ntyp = 4
/
ATOMIC_SPECIES
O 16.00 O.upf
V 50.94 V.upf
Li 6.94 Li.upf
P 30.97 P.upf
ATOMIC_POSITIONS angstrom
O 3.3552 5.3603 2.2992
O 3.7470 -1.1611 7.3276
O 5.1658 0.8175 3.1781
O 3.1586 4.9714 6.6267
O 3.3552 0.7079 5.7895
O 1.4530 7.8651 2.8579
O 0.0193 7.3633 0.9253
O 0.9093 3.4081 8.2435
O 1.4530 0.5435 8.3506
O -0.9773 7.4110 3.3342
O 0.9093 6.9610 5.5782
O 0.5786 1.1909 1.5874
O 5.1658 2.8225 1.6740
O 4.7291 -1.2251 4.9208
O 3.7470 7.3598 0.9352
O -1.3934 5.3732 5.0763
O 4.7291 5.0670 0.2004
O -0.9773 1.1278 8.0479
O 3.5439 3.4161 4.5537
O 0.0193 -1.1716 7.3281
O 0.2864 2.7472 3.6619
O 0.3708 0.8181 5.9372
O 0.3708 5.4713 2.4464
O -1.3934 3.3704 6.5788
V 3.4550 7.4768 2.9852
V 3.7270 6.2504 8.3317
V 5.1119 4.3401 3.1131
V 0.3001 5.4207 0.2364
V 5.1119 1.7746 5.0377
V 0.3001 -1.2896 5.2704
V 3.4550 0.7743 8.0134
Li 2.4362 0.8492 1.1320
Li 1.8517 1.7624 5.0505
Li 1.2736 5.2488 6.9965
Li 1.8517 4.3558 3.1049
P 0.2283 0.3796 7.4600
P 0.2283 7.0560 2.4514
P 3.5210 -0.8746 5.8030
P -0.4061 1.8898 2.5191
P 3.5210 5.8159 0.7837
P 4.1788 4.2915 5.7205
CELL_PARAMETERS angstrom
6.4951 -0.0742 -0.0989
-1.3923 8.6644 0.1663
-1.3923 -2.2643 8.3650
! Uncorrected formation energy   -2.0304 eV per atom
! Calculated volume   470.8 Å³/cell
! N(E_F)   5.83 states/eV/cell
! E   -7.787 eV/atom
! Crystal system   monoclinic

---

! GGA-PBEsol LiVPO5, relaxed; values from VASP
&SYSTEM
  ibrav = 0, nat = 16, ntyp = 4
/
ATOMIC_SPECIES
O 16.00 O.upf
P 30.97 P.upf
Li 6.94 Li.upf
V 50.94 V.upf
ATOMIC_POSITIONS angstrom
O -5.0572 -2.4638 0.4124
O -0.9104 -2.3478 5.7110
O -2.5228 -4.7164 3.9333
O -1.9619 -0.0664 5.2534
O -1.3082 -1.6162 3.3680
O -3.9992 -4.7439 0.8653
O -3.2911 -2.1365 4.8913
O -3.4242 -0.0811 2.2150
O -4.6543 -3.1983 2.7537
O -2.6751 -2.6707 1.2291
P -1.8679 -1.5417 4.8059
P -4.0964 -3.2692 1.3151
Li -3.1238 1.2247 4.2060
Li -0.6373 -4.3279 5.3662
V -2.0975 -0.8593 1.7331
V -3.8649 -3.9501 4.3909
CELL_PARAMETERS angstrom
-3.6571 2.1164 1.2874
-3.3692 -5.1810 -1.0537
1.0879 -1.7261 5.9280
! Uncorrected formation energy   -2.3167 eV per atom
! Calculated volume   173.6 Å³/cell
! E   -7.772 eV/atom
! Crystal system   orthorhombic

---

! GGA-PBEsol Li2VP2O8, relaxed; values from VASP
&SYSTEM
  ibrav = 0, nat = 52, ntyp = 4
/
ATOMIC_SPECIES
O 16.00 O.upf
P 30.97 P.upf
Li 6.94 Li.upf
V 50.94 V.upf
ATOMIC_POSITIONS angstrom
O -9.3781 -6.8616 5.7504
O -1.3538 0.7564 2.2802
O -8.8447 1.1038 4.7362
O -7.0315 -2.7640 3.7229
O -9.5638 -3.8840 5.9111
O -1.9880 1.3103 5.9231
O -2.5177 -1.1793 6.0814
O -6.9161 -7.4239 7.0406
O -3.3214 -4.5295 2.0275
O -7.3933 -1.0576 1.9698
O -9.9266 -2.9447 2.8274
O -6.4095 -7.8032 4.0107
O -4.3575 -7.2910 1.5511
O -7.1914 1.3894 0.2676
O -8.1479 -5.9968 3.3154
O -3.6122 -2.3913 0.2147
O -9.2488 1.1734 2.3083
O -3.0985 -4.6279 6.8706
O -5.1094 -2.1246 2.1514
O -4.4495 -2.8212 4.8942
O -5.5748 -0.8800 -0.0026
O -5.7168 -5.5367 3.0688
O -3.0258 -0.5902 3.5077
O -10.5311 -5.2268 3.7921
O -1.9962 -6.8293 2.9229
O -6.0162 -3.3853 0.1785
O -5.7616 -0.5392 3.9361
O -6.8838 -7.2437 1.6095
O -3.7356 -5.5386 4.6733
O -7.1273 -5.1942 5.7790
O -9.0389 -3.3914 -0.1040
O -9.4552 -0.2601 0.3016
P -9.5031 -4.8174 -0.3266
P -6.7773 -6.6687 3.1148
P -6.3704 -1.6075 2.9990
P -6.9428 -5.9111 7.1363
P -5.1106 -2.2570 0.5419
P -9.9647 1.4327 3.7324
P -2.4878 -5.3298 5.5506
P -1.5241 -0.4868 3.1309
Li -3.4699 1.4548 3.3508
Li -8.4907 -2.8300 1.7284
Li -1.7880 -3.3855 1.5569
Li -5.8112 -4.2002 4.5398
Li -4.1051 -9.0737 2.6291
Li -8.2748 -2.3739 5.2314
Li -10.3469 -6.5792 2.3443
Li -6.3943 1.3420 4.4987
V -9.0035 -5.5188 4.9712
V -3.8130 -5.8515 2.7764
V -7.3903 -0.1938 0.2024
V -4.1336 -1.2587 4.9897
CELL_PARAMETERS angstrom
-1.3277 1.8175 6.3820
-8.5282 1.5083 -2.2038
-2.3143 -9.7372 2.2916
! Uncorrected formation energy   -2.2785 eV per atom
! Calculated volume   620.9 Å³/cell
! E   -7.443 eV/atom
! Crystal system   orthorhombic

---

! GGA-PBEsol Li2VP3O10, relaxed; values from VASP
&SYSTEM
  ibrav = 0, nat = 32, ntyp = 4
/
ATOMIC_SPECIES
O 16.00 O.upf
Li 6.94 Li.upf
V 50.94 V.upf
P 30.97 P.upf
ATOMIC_POSITIONS angstrom
O -4.1265 -1.8342 -6.9258
O -4.9846 -3.2589 -4.9994
O -6.8841 -0.8704 -5.4365
O -6.1482 -5.5498 -5.8785
O -5.7717 -3.1768 -10.2750
O -1.1458 -2.6971 -7.6047
O -7.5906 -3.7055 -6.9105
O -1.5618 -0.0515 -2.4510
O -3.3907 -6.5135 -7.3679
O -9.1290 -4.6868 -5.1996
O -2.6841 -3.6784 -5.8939
O -5.2901 -4.1250 -7.8049
O -8.7129 -7.3324 -10.3534
O -4.5030 -4.2072 -2.5293
O -3.1926 -1.4842 -4.6400
O -7.0822 -5.8997 -8.1643
O -0.5570 -2.5222 -5.0824
O -9.7178 -4.8617 -7.7219
O -7.2402 -3.7444 -3.7535
O -3.0346 -3.6395 -9.0508
Li -6.3385 -2.0205 -4.1060
Li -1.4677 -0.9489 -4.2815
Li -3.9363 -5.3634 -8.6983
Li -8.8071 -6.4350 -8.5229
V -4.5118 -2.4847 -8.6810
V -5.7630 -4.8992 -4.1233
P -9.1255 -3.9888 -6.6246
P -1.1493 -3.3951 -6.1797
P -6.4778 -4.8914 -7.2541
P -8.2265 -6.3761 -11.4259
P -3.7969 -2.4925 -5.5503
P -2.0482 -1.0078 -1.3784
CELL_PARAMETERS angstrom
-5.4715 1.4814 -4.0702
0.5666 -2.4830 -7.6476
-5.3698 -6.3823 -1.0866
! Uncorrected formation energy   -2.2238 eV per atom
! Calculated volume   383.0 Å³/cell
! N(E_F)   5.47 states/eV/cell
! E   -7.438 eV/atom
! Crystal system   monoclinic

---

! GGA-PBEsol Li5V4P6O24, relaxed; values from VASP
&SYSTEM
  ibrav = 0, nat = 78, ntyp = 4
/
ATOMIC_SPECIES
O 16.00 O.upf
V 50.94 V.upf
P 30.97 P.upf
Li 6.94 Li.upf
ATOMIC_POSITIONS angstrom
O -6.2898 -6.7934 5.1738
O -2.9469 -0.1030 2.5255
O -3.2998 -2.7265 7.3960
O -7.9445 -7.9325 7.1867
O -1.4074 -3.1930 0.6614
O -5.6815 -9.2703 6.6354
O -4.1694 -6.9091 6.8786
O -1.2866 -4.7546 11.2784
O -3.6175 -6.2488 0.9995
O -0.4447 -1.0008 2.1403
O -2.5946 -8.5260 2.2270
O -2.7392 -8.9058 6.6396
O -3.8568 -3.7686 11.9291
O -5.0406 -7.3113 2.9648
O -1.2408 -6.2754 2.7725
O 0.6207 -3.4845 6.0984
O -4.2036 -5.7541 -1.3736
O -6.4107 -5.2529 3.2344
O 0.2894 -5.8323 4.7607
O -4.8639 -6.0440 10.4456
O -6.5427 -5.6416 7.6884
O -1.1438 -8.7313 8.9195
O -2.0543 -2.7076 3.3012
O 0.0268 -9.3726 6.6725
O -2.3451 -6.9428 10.1441
O -6.0853 -1.0662 5.2221
O -7.1887 -2.8146 3.7756
O -4.9857 -8.4294 11.2708
O -5.6721 -7.9986 8.9232
O -3.4907 -4.8819 3.2615
O -6.8142 -0.4694 2.9117
O -1.9255 -11.3247 6.0058
O -4.1123 -2.9914 4.7033
O -3.5969 -0.4038 5.7544
O -1.6545 -6.6289 6.7160
O -1.9957 -4.2931 5.2119
O -5.5658 -1.1687 7.8408
O -5.9292 -3.5391 6.5003
O -8.0474 -5.4362 0.9768
O 1.4822 -6.4913 9.6716
O -6.0860 -3.5658 1.2350
O -2.9584 -7.3730 4.6831
O -3.9952 -2.3201 1.3213
O 0.8013 -5.9806 7.3426
O -1.1907 -4.0369 7.9056
O -3.2589 -4.2250 9.3892
O -9.2142 -4.8020 3.2329
O -3.1040 -10.6360 8.6425
V -7.6818 -4.0028 2.2863
V -2.2416 -1.6729 1.5132
V -6.0531 -7.3203 7.0002
V -1.4975 -10.1643 7.6267
V -3.0481 -5.4046 11.0160
V -4.6851 -2.0327 6.3199
V -3.0666 -6.8036 2.8627
V -0.6213 -5.0092 6.2891
P -5.6174 -7.3877 10.3616
P -2.8832 -7.4063 6.2068
P -1.5432 -8.2279 10.3250
P 1.8718 -5.7103 8.4399
P -6.2979 -6.7445 3.6651
P -7.6472 -5.9566 -0.4226
P 1.6500 -2.8478 5.1368
P -7.1799 -1.3149 4.1282
P -2.4074 -3.2906 8.5015
P -3.5677 -6.7899 -0.4466
P -6.9469 -4.1730 7.4756
P -2.8951 -3.7441 4.1163
Li -3.3705 -10.1639 5.2733
Li -5.1162 0.6207 4.9709
Li -5.2260 -4.3239 9.6790
Li -2.2546 -0.9338 4.1797
Li -0.0703 -2.8169 2.7893
Li -7.3815 -9.0019 8.7505
Li -0.2382 -7.6212 7.6236
Li -5.8637 -3.9751 4.6196
Li -4.2742 -9.1864 8.0035
Li -4.7848 -4.8766 1.8464
CELL_PARAMETERS angstrom
-7.0979 2.3023 4.1116
-3.8843 -7.1461 -2.7040
3.7391 -5.7521 9.8310
! Uncorrected formation energy   -2.3153 eV per atom
! Calculated volume   875.4 Å³/cell
! N(E_F)   43.75 states/eV/cell
! E   -7.677 eV/atom
! Crystal system   monoclinic

---

! GGA-PBEsol LiVPO4, relaxed; values from VASP
&SYSTEM
  ibrav = 0, nat = 14, ntyp = 4
/
ATOMIC_SPECIES
O 16.00 O.upf
Li 6.94 Li.upf
P 30.97 P.upf
V 50.94 V.upf
ATOMIC_POSITIONS angstrom
O -6.7056 3.3838 1.7064
O -5.6662 1.7506 -1.7645
O -7.0990 0.8067 0.0971
O -7.6928 3.7305 -0.5990
O -7.1220 5.7116 0.8447
O -4.6790 1.4038 0.5409
O -5.2498 -0.5773 -0.9028
O -5.2728 4.3276 -0.1553
Li -2.8498 0.4668 -0.2415
Li -9.5220 4.6676 0.1834
P -6.7092 4.3250 0.4594
P -5.6626 0.8093 -0.5175
V -8.7080 1.9331 -0.5765
V -3.6638 3.2012 0.5183
CELL_PARAMETERS angstrom
-3.4989 -0.2128 -2.9827
-4.0944 -1.5984 1.3658
-4.7786 6.9456 1.5588
! Uncorrected formation energy   -2.1499 eV per atom
! Calculated volume   149.5 Å³/cell
! E   -7.634 eV/atom
! Crystal system   trigonal

---

! GGA-PBEsol Li2V3P5O18, relaxed; values from VASP
&SYSTEM
  ibrav = 0, nat = 56, ntyp = 4
/
ATOMIC_SPECIES
O 16.00 O.upf
P 30.97 P.upf
V 50.94 V.upf
Li 6.94 Li.upf
ATOMIC_POSITIONS angstrom
O 1.8558 -2.7208 7.9221
O 4.0023 -5.1194 7.9230
O 5.4322 -4.2421 4.4132
O 4.1556 -8.8376 1.7392
O 6.7483 -6.3090 13.0313
O 0.7794 -4.1488 11.7104
O 3.4127 -3.2538 5.9447
O 5.4683 -8.9114 7.0229
O 3.5339 -7.7442 12.6703
O -0.2879 -5.2759 9.7064
O 2.4803 -6.8820 1.4205
O 1.4835 -1.9491 5.5056
O 6.6353 -8.4221 1.7986
O -1.0440 -3.5980 7.6738
O 0.0686 -1.2148 3.2745
O -0.3241 -0.6066 7.0967
O 3.2884 -6.7972 6.1975
O 1.7315 -6.2642 8.1750
O 5.8646 -8.7610 13.1864
O 0.9886 -0.6804 12.3804
O -1.4196 -2.8311 5.2563
O -0.7204 -0.7570 0.9332
O -2.8505 -2.1176 7.2717
O 4.3649 -5.3692 2.4092
O 3.6607 -7.5689 8.6141
O 1.6103 -1.7738 1.4493
O 2.6639 -2.6360 12.6992
O 1.1419 -4.3986 6.1967
O 2.1214 -4.1778 0.9159
O 7.9947 -7.4004 6.8479
O -1.4910 -1.0959 12.3210
O 6.1882 -5.9200 6.4458
O 5.0756 -8.3032 10.8451
O 6.5639 -6.6869 8.8633
O -1.6041 -3.2090 1.0883
O 3.0228 -5.3402 13.2037
P -2.0885 -3.2636 6.5775
P 3.1863 -6.4179 7.6894
P 1.9579 -3.1001 6.4302
P 7.2328 -6.2544 7.5421
P 4.6810 -8.7944 12.2237
P -0.2478 -5.1444 11.2160
P 0.4633 -0.7236 1.8959
P 5.4169 -8.3056 0.9164
P 5.3920 -4.3736 2.9036
P 1.7415 -2.8604 0.2861
V -1.3482 -1.9310 -0.4060
V 4.9070 -4.4788 6.2214
V 3.5792 -5.5830 0.6012
V 0.2373 -5.0392 7.8982
V 5.3974 -8.3579 8.9755
V -0.2531 -1.1601 5.1441
Li 6.4149 -7.8266 5.7355
Li 0.7438 -5.2398 4.5043
Li 4.4004 -4.2782 9.6153
Li -1.2707 -1.6914 8.3841
CELL_PARAMETERS angstrom
-2.6964 -3.8620 -0.8120
9.8547 -7.3040 2.0145
-2.0141 1.6480 12.9171
! Uncorrected formation energy   -2.1825 eV per atom
! Calculated volume   769.4 Å³/cell
! N(E_F)   28.97 states/eV/cell
! E   -7.764 eV/atom
! Crystal system   monoclinic